[1]
First-principles (PBE) data for a geometry-optimized MgTlIn2Cu structure, as listed in the Alexandria database.

Output
For the formation energy, the calculation gives 0.0858 eV per atom. For the density of states at the Fermi level, the calculation gives 0.594 states/eV/atom. The symmetry is No. 123. The value obtained for the total energy is -13.105 eV per cell.

abc: 5.0918 5.0918 5.0440
angles: 90.00 90.00 90.00
Last column: nearest neighbours and their distance in Å.
Fractional positions:
Mg  0.0000  0.0000  0.0000  2 Cu 2.52
Tl  0.5000  0.5000  0.0000  8 In 3.58, 4 Mg 3.60
In  0.0000  0.5000  0.5000  2 Cu 2.55
In  0.5000  0.0000  0.5000  2 Cu 2.55
Cu  0.0000  0.0000  0.5000  2 Mg 2.52, 4 In 2.55

[2]
First-principles (PBE) data for a geometry-optimized GdNbSi2 structure, as listed in the Alexandria database.

Output
As for the energy relative to the elements, uncorrected: -0.45 eV per atom. For the density of states at the Fermi level, the calculation gives 0.428 states/eV/atom. The symmetry is No. 166. The value obtained for the total energy is -36.792 eV per cell.

abc: 6.8770 6.8770 6.8770
angles: 32.07 32.07 32.07
Last column: nearest neighbours and their distance in Å.
Fractional positions:
Gd  0.0000  0.0000  0.0000  6 Si 2.86
Nb  0.5000  0.5000  0.5000  6 Si 2.61
Si  0.2391  0.2391  0.2391  3 Nb 2.61, 3 Gd 2.86
Si  0.7609  0.7609  0.7609  3 Nb 2.61, 3 Gd 2.86

[3]
First-principles (PBE) data for a geometry-optimized BeSb2Ir structure, as listed in the Alexandria database.

Output
As for the energy relative to the elements, uncorrected: 0.00 eV per atom. For the density of states at the Fermi level, the calculation gives 0.364 states/eV/atom. The symmetry is No. 38. The value obtained for the total energy is -20.844 eV per cell.

abc: 4.3786 4.5415 4.5415
angles: 63.75 90.00 90.00
Last column: nearest neighbours and their distance in Å.
Fractional positions:
Be  0.0000  0.0000  0.0000  2 Ir 2.37, 1 Sb 2.60
Sb  0.0000  0.3365  0.3365  3 Be 2.60-2.71, 2 Ir 2.76
Sb  0.5000  0.7716  0.7716  3 Ir 2.67-2.68, 2 Be 2.81
Ir  0.5000  0.1186  0.1186  2 Be 2.37

[4]
First-principles (PBE) data for a geometry-optimized Mn2CoPb structure, as listed in the Alexandria database.

Output
For the formation energy, the calculation gives 0.4234 eV per atom. As for the excess energy over the best structure of this formula in the dataset: 10.41 kJ per mole of atoms. For the density of states at the Fermi level, the calculation gives 0.908 states/eV/atom. The symmetry is No. 119. The value obtained for the total energy is -27.460 eV per cell.

abc: 4.6034 4.6034 4.6034
angles: 125.84 125.84 80.15
Last column: nearest neighbours and their distance in Å.
Fractional positions:
Mn  0.0000  0.0000  0.0000  4 Mn 2.74, 4 Pb 2.74, 4 Co 2.96
Mn  0.7500  0.2500  0.5000  4 Mn 2.74, 4 Co 2.74, 4 Pb 2.96
Co  0.5000  0.5000  0.0000  8 Mn 2.74-2.96, 4 Pb 2.74
Pb  0.2500  0.7500  0.5000  8 Mn 2.74-2.96, 4 Co 2.74

[5]
First-principles (PBE) data for a geometry-optimized ErScCr2S6 structure, as listed in the Alexandria database.

Output
As for the energy relative to the elements, uncorrected: -1.26 eV per atom. The symmetry is No. 146. The value obtained for the total energy is -67.467 eV per cell.

abc: 6.7201 6.7201 6.7201
angles: 56.60 56.60 56.60
Last column: nearest neighbours and their distance in Å.
Fractional positions:
Er  0.0000  0.0000  0.0000  6 S 2.65-2.72
Sc  0.4950  0.4950  0.4950  6 S 2.57-2.58
Cr  0.2993  0.2993  0.2993  6 S 2.42-2.48
Cr  0.8014  0.8014  0.8014  6 S 2.41-2.49
S  0.0718  0.6680  0.4384  2 Cr 2.41-2.48, 1 Sc 2.58, 1 Er 2.65
S  0.1848  0.5644  0.9212  2 Cr 2.42-2.49, 1 Sc 2.57, 1 Er 2.72
S  0.4384  0.0718  0.6680  2 Cr 2.41-2.48, 1 Sc 2.58, 1 Er 2.65
S  0.5644  0.9212  0.1848  2 Cr 2.42-2.49, 1 Sc 2.57, 1 Er 2.72
S  0.6680  0.4384  0.0718  2 Cr 2.41-2.48, 1 Sc 2.58, 1 Er 2.65
S  0.9212  0.1848  0.5644  2 Cr 2.42-2.49, 1 Sc 2.57, 1 Er 2.72

[6]
First-principles (PBE) data for a geometry-optimized TaTl2Si structure, as listed in the Alexandria database.

Output
As for the energy relative to the elements, uncorrected: 0.32 eV per atom. As for the excess energy over the best structure of this formula in the dataset: 4.10 kJ per mole of atoms. For the density of states at the Fermi level, the calculation gives 0.494 states/eV/atom. The symmetry is No. 35. The value obtained for the total energy is -20.720 eV per cell.

abc: 3.0962 3.0962 9.7346
angles: 90.00 90.00 103.54
Last column: nearest neighbours and their distance in Å.
Fractional positions:
Ta  0.0000  0.0000  0.0000  2 Si 2.56
Tl  0.0000  0.0000  0.5687  4 Tl 3.10, 2 Si 3.15
Tl  0.5000  0.5000  0.2532  4 Tl 3.10, 4 Ta 3.12-3.46
Si  0.5000  0.5000  0.8254  2 Ta 2.56

[7]
First-principles (PBE) data for a geometry-optimized Sm3DyEr6 structure, as listed in the Alexandria database.

Output
For the formation energy, the calculation gives 0.1502 eV per atom. As for the excess energy over the best structure of this formula in the dataset: 0.00 kJ per mole of atoms. For the density of states at the Fermi level, the calculation gives 1.455 states/eV/atom. The symmetry is No. 36. The value obtained for the total energy is -89.270 eV per cell.

abc: 10.9215 10.9215 6.2041
angles: 90.00 90.00 119.63
Last column: nearest neighbours and their distance in Å.
Fractional positions:
Sm  0.1092  0.8908  0.5000  5 Er 3.37-3.63, 1 Dy 3.53, 2 Sm 3.67
Sm  0.2182  0.4388  0.1072  1 Dy 3.27, 6 Er 3.28-3.58
Sm  0.4388  0.2182  0.6072  1 Dy 3.27, 6 Er 3.28-3.58
Sm  0.5612  0.7818  0.1072  1 Dy 3.27, 6 Er 3.28-3.58
Sm  0.7818  0.5612  0.6072  1 Dy 3.27, 6 Er 3.28-3.58
Sm  0.8908  0.1092  0.0000  5 Er 3.37-3.63, 1 Dy 3.53, 2 Sm 3.67
Dy  0.2947  0.7053  0.4253  7 Er 3.25-3.45, 3 Sm 3.27-3.53
Dy  0.7053  0.2947  0.9253  7 Er 3.25-3.45, 3 Sm 3.27-3.53
Er  0.0374  0.4586  0.7003  5 Er 3.21-3.44, 2 Dy 3.25-3.45, 2 Sm 3.28-3.53
Er  0.1170  0.2118  0.5294  6 Er 3.38-3.77, 4 Sm 3.39-3.63
Er  0.2118  0.1170  0.0294  6 Er 3.38-3.77, 4 Sm 3.39-3.63
Er  0.2195  0.7805  0.9265  4 Er 3.21-3.37, 1 Sm 3.37, 2 Dy 3.41-3.42
Er  0.4543  0.5457  0.6577  1 Dy 3.34, 4 Sm 3.51-3.58, 2 Er 3.55
Er  0.4586  0.0374  0.2003  5 Er 3.21-3.44, 2 Dy 3.25-3.45, 2 Sm 3.28-3.53
Er  0.5414  0.9626  0.7003  5 Er 3.21-3.44, 2 Dy 3.25-3.45, 2 Sm 3.28-3.53
Er  0.5457  0.4543  0.1577  1 Dy 3.34, 4 Sm 3.51-3.58, 2 Er 3.55
Er  0.7805  0.2195  0.4265  4 Er 3.21-3.37, 1 Sm 3.37, 2 Dy 3.41-3.42
Er  0.7882  0.8830  0.5294  6 Er 3.38-3.77, 4 Sm 3.39-3.63
Er  0.8830  0.7882  0.0294  6 Er 3.38-3.77, 4 Sm 3.39-3.63
Er  0.9626  0.5414  0.2003  5 Er 3.21-3.44, 2 Dy 3.25-3.45, 2 Sm 3.28-3.53

[8]
First-principles (PBE) data for a geometry-optimized ZnInSn2 structure, as listed in the Alexandria database.

Output
For the formation energy, the calculation gives 0.0919 eV per atom. As for the excess energy over the best structure of this formula in the dataset: 0.66 kJ per mole of atoms. For the density of states at the Fermi level, the calculation gives 0.386 states/eV/atom. The symmetry is No. 15. The value obtained for the total energy is -23.301 eV per cell.

abc: 6.5111 6.5111 5.4659
angles: 98.36 98.36 114.10
Last column: nearest neighbours and their distance in Å.
Fractional positions:
Zn  0.2261  0.7739  0.7500  4 Sn 2.89-2.93, 2 In 3.03
Zn  0.7739  0.2261  0.2500  4 Sn 2.89-2.93, 2 In 3.03
In  0.3460  0.6540  0.2500  2 Zn 3.03, 6 Sn 3.25-3.36
In  0.6540  0.3460  0.7500  2 Zn 3.03, 6 Sn 3.25-3.36
Sn  0.1261  0.2851  0.6774  2 Zn 2.89-2.93, 1 Sn 3.22
Sn  0.2851  0.1261  0.1774  2 Zn 2.89-2.93, 1 Sn 3.22
Sn  0.7149  0.8739  0.8226  2 Zn 2.89-2.93, 1 Sn 3.22
Sn  0.8739  0.7149  0.3226  2 Zn 2.89-2.93, 1 Sn 3.22

[9]
First-principles (PBE) data for a geometry-optimized LaGa3Cu structure, as listed in the Alexandria database.

Output
For the formation energy, the calculation gives -0.5573 eV per atom. As for the excess energy over the best structure of this formula in the dataset: 0.00 kJ per mole of atoms. For the density of states at the Fermi level, the calculation gives 0.385 states/eV/atom. The symmetry is No. 8. The value obtained for the total energy is -20.891 eV per cell.

abc: 4.3222 4.3222 6.0506
angles: 110.83 110.83 90.08
Last column: nearest neighbours and their distance in Å.
Fractional positions:
La  0.0000  0.0000  0.0000  12 Ga 3.21-3.40, 4 Cu 3.35-3.37
Ga  0.2490  0.7498  0.5012  2 Cu 2.47, 2 Ga 2.70
Ga  0.5954  0.5954  0.1929  1 Cu 2.42, 4 Ga 2.70
Ga  0.7498  0.2490  0.5012  2 Cu 2.47, 2 Ga 2.70
Cu  0.3644  0.3644  0.7310  5 Ga 2.42-2.47

[10]
First-principles (PBE) data for a geometry-optimized Li2ZnMo structure, as listed in the Alexandria database.

Output
For the formation energy, the calculation gives 0.4275 eV per atom. For the density of states at the Fermi level, the calculation gives 0.596 states/eV/atom. The symmetry is No. 123. The value obtained for the total energy is -14.223 eV per cell.

abc: 4.7403 4.7403 2.5496
angles: 90.00 90.00 90.00
Last column: nearest neighbours and their distance in Å.
Fractional positions:
Li  0.0000  0.5000  0.0000  2 Li 2.55, 4 Mo 2.69, 4 Zn 2.69
Li  0.5000  0.0000  0.0000  2 Li 2.55, 4 Mo 2.69, 4 Zn 2.69
Zn  0.0000  0.0000  0.5000  2 Zn 2.55, 8 Li 2.69
Mo  0.5000  0.5000  0.5000  2 Mo 2.55, 8 Li 2.69